[1]
ErTmGaHg | PBE | relaxed

Calculated values
* calculated formation energy: -50.47 kJ/mol of atoms
* magnetization: 0.00 μB/f.u.
* ΔE to the lowest computed polymorph: 0.00 eV/f.u.

Cell: 3.588 3.588 7.312 Å, 90.00 90.00 90.00°
Positions (direct):
Er  0.000  0.000  0.844
Tm  0.000  0.000  0.369
Ga  0.500  0.500  0.605
Hg  0.500  0.500  0.110

---

[2]
La3SmEr | PBE | relaxed

Calculated values
* calculated formation energy: 5.27 kJ/mol of atoms
* magnetization: 0.00 μB/f.u.
* ΔE to the lowest computed polymorph: 0.00 eV/f.u.

Cell: 6.731 10.395 10.395 Å, 82.33 78.88 78.88°
Positions (direct):
La  0.151  0.738  0.862
La  0.349  0.138  0.262
La  0.849  0.262  0.138
La  0.651  0.862  0.738
La  0.347  0.389  0.012
La  0.153  0.988  0.611
La  0.653  0.611  0.988
La  0.847  0.012  0.389
La  0.061  0.414  0.780
La  0.439  0.220  0.586
La  0.939  0.586  0.220
La  0.561  0.780  0.414
Sm  0.750  0.934  0.066
Sm  0.250  0.066  0.934
Sm  0.750  0.191  0.809
Sm  0.250  0.809  0.191
Er  0.560  0.529  0.667
Er  0.940  0.333  0.471
Er  0.440  0.471  0.333
Er  0.060  0.667  0.529

---

[3]
CeYOs | PBE | relaxed

Calculated values
* calculated formation energy: -15.51 kJ/mol of atoms
* magnetization: 0.22 μB/f.u.
* ΔE to the lowest computed polymorph: 0.00 eV/f.u.

Cell: 4.359 5.951 6.329 Å, 108.10 90.00 90.00°
Positions (direct):
Ce  0.752  0.005  0.829
Ce  0.252  0.003  0.174
Y  0.752  0.576  0.305
Y  0.252  0.432  0.698
Os  0.752  0.138  0.426
Os  0.252  0.869  0.578

---

[4]
Sr3Mg2RhO6 | PBE | relaxed

Calculated values
* magnetization: 0.85 μB/f.u.
* raw formation energy: -1.95 eV/atom

Cell: 5.782 5.782 6.563 Å, 90.00 90.00 120.00°
Positions (direct):
Sr  0.333  0.667  0.621
Sr  0.667  0.333  0.379
Sr  0.000  0.000  0.000
Mg  0.667  0.333  0.822
Mg  0.333  0.667  0.178
Rh  0.000  0.000  0.500
O  0.674  0.837  0.308
O  0.163  0.326  0.308
O  0.163  0.837  0.308
O  0.837  0.674  0.692
O  0.326  0.163  0.692
O  0.837  0.163  0.692